{"formula": "GePH2", "functional": "SCAN", "state": "single point on PBEsol structure", "lattice": [[-3.154, 2.009, 0.385], [-2.483, -0.894, 2.677], [-0.444, 2.250, 2.979]], "species": ["P", "Ge", "H", "H"], "fractional_positions": [[0.000, 0.000, 0.000], [0.500, 0.500, 0.500], [0.250, 0.250, 0.250], [0.750, 0.750, 0.750]], "e_tot_ev_per_cell": -32.7, "magmom_total_mub_per_fu": 0.000, "spacegroup": "No. 225"}

=====

{"formula": "Ge2PH", "functional": "SCAN", "state": "single point on PBEsol structure", "lattice": [[-1.144, -4.947, -1.127], [3.738, -0.041, -3.616], [1.858, 1.017, 5.650]], "species": ["P", "P", "Ge", "Ge", "Ge", "Ge", "H", "H"], "fractional_positions": [[0.250, 0.750, 0.500], [0.000, 0.000, 0.000], [0.808, 0.375, 0.250], [0.442, 0.875, 0.250], [0.625, 0.558, 0.750], [0.125, 0.192, 0.750], [0.750, 0.250, 0.500], [0.500, 0.500, 0.000]], "e_tot_ev_per_cell": -100.4, "magmom_total_mub_per_fu": 0.000, "spacegroup": "No. 122"}

=====

{"formula": "Ge2PHPt", "functional": "SCAN", "state": "single point on PBEsol structure", "lattice": [[-2.751, 3.015, 0.777], [-2.211, -2.579, 2.182], [2.066, 1.031, 3.312]], "species": ["P", "Ge", "Ge", "Pt", "H"], "fractional_positions": [[0.500, 0.000, 0.000], [0.000, 0.000, 0.500], [0.000, 0.500, 0.000], [0.500, 0.500, 0.500], [0.000, 0.000, 0.000]], "e_tot_ev_per_cell": -119.4, "magmom_total_mub_per_fu": 0.000, "spacegroup": "No. 123"}

=====

{"formula": "GeHPb2", "functional": "SCAN", "state": "single point on PBEsol structure", "lattice": [[4.924, 0.000, 0.000], [2.462, 4.264, 0.000], [2.462, 1.421, 4.020]], "species": ["Pb", "Pb", "H", "Ge"], "fractional_positions": [[0.250, 0.250, 0.250], [0.750, 0.750, 0.750], [0.000, 0.000, 0.000], [0.500, 0.500, 0.500]], "e_tot_ev_per_cell": -172.3, "magmom_total_mub_per_fu": 0.000, "spacegroup": "No. 225"}

=====

{"formula": "GeH2Pd", "functional": "SCAN", "state": "single point on PBEsol structure", "lattice": [[3.825, 0.000, 0.000], [1.913, 3.313, 0.000], [1.913, 1.104, 3.123]], "species": ["H", "H", "Ge", "Pd"], "fractional_positions": [[0.250, 0.250, 0.250], [0.750, 0.750, 0.750], [0.000, 0.000, 0.000], [0.500, 0.500, 0.500]], "e_tot_ev_per_cell": -55.9, "magmom_total_mub_per_fu": 0.000, "spacegroup": "No. 225"}

=====

{"formula": "GeH2Pd2", "functional": "SCAN", "state": "single point on PBEsol structure", "lattice": [[-0.602, 1.074, -2.585], [-5.637, -2.523, 0.265], [-2.178, 5.145, 2.645]], "species": ["H", "H", "H", "H", "Ge", "Ge", "Pd", "Pd", "Pd", "Pd"], "fractional_positions": [[0.000, 0.409, 0.909], [0.000, 0.909, 0.591], [0.000, 0.591, 0.091], [0.000, 0.091, 0.409], [0.000, 0.000, 0.000], [0.000, 0.500, 0.500], [0.500, 0.297, 0.797], [0.500, 0.797, 0.703], [0.500, 0.703, 0.203], [0.500, 0.203, 0.297]], "e_tot_ev_per_cell": -182.7, "magmom_total_mub_per_fu": 0.000, "spacegroup": "No. 127"}

=====

{"formula": "Ge3HPt", "functional": "SCAN", "state": "single point on PBEsol structure", "lattice": [[-3.773, -2.548, 1.599], [-1.421, -0.751, -4.550], [2.652, -4.028, -0.163]], "species": ["H", "Ge", "Ge", "Ge", "Pt"], "fractional_positions": [[0.500, 0.500, 0.500], [0.000, 0.500, 0.000], [0.000, 0.000, 0.500], [0.500, 0.000, 0.000], [0.000, 0.000, 0.000]], "e_tot_ev_per_cell": -126.9, "magmom_total_mub_per_fu": 0.002, "spacegroup": "No. 221"}

=====

{"formula": "RbGe3H", "functional": "SCAN", "state": "single point on PBEsol structure", "lattice": [[5.768, 0.000, 0.000], [0.000, 5.768, 0.000], [0.000, 0.000, 5.768]], "species": ["H", "Ge", "Ge", "Ge", "Rb"], "fractional_positions": [[0.500, 0.500, 0.500], [0.000, 0.500, 0.000], [0.000, 0.000, 0.500], [0.500, 0.000, 0.000], [0.000, 0.000, 0.000]], "e_tot_ev_per_cell": -69.8, "magmom_total_mub_per_fu": 1.274, "spacegroup": "No. 221"}

=====

{"formula": "ReGe2H2", "functional": "SCAN", "state": "single point on PBEsol structure", "lattice": [[4.174, 0.007, 0.011], [-1.650, 3.833, -0.011], [-1.650, -1.665, 3.453]], "species": ["Re", "Ge", "Ge", "H", "H"], "fractional_positions": [[0.000, 0.000, 0.000], [0.500, 0.750, 0.250], [0.500, 0.250, 0.750], [0.000, 0.667, 0.667], [0.000, 0.333, 0.333]], "e_tot_ev_per_cell": -114.7, "magmom_total_mub_per_fu": 0.000, "spacegroup": "No. 139"}

=====

{"formula": "ReGeH3", "functional": "SCAN", "state": "single point on PBEsol structure", "lattice": [[-2.839, 2.092, -0.171], [-0.655, -0.609, 3.415], [1.994, 2.778, 0.878]], "species": ["Re", "Ge", "H", "H", "H"], "fractional_positions": [[0.000, 0.000, 0.000], [0.500, 0.500, 0.500], [0.000, 0.500, 0.000], [0.000, 0.000, 0.500], [0.500, 0.000, 0.000]], "e_tot_ev_per_cell": -97.2, "magmom_total_mub_per_fu": 0.000, "spacegroup": "No. 221"}

=====

{"formula": "Re2GeH", "functional": "SCAN", "state": "single point on PBEsol structure", "lattice": [[-2.176, 3.393, -0.812], [-3.504, -0.267, -2.135], [-3.604, 0.629, 1.877]], "species": ["Re", "Re", "Ge", "H"], "fractional_positions": [[0.250, 0.250, 0.250], [0.750, 0.750, 0.750], [0.500, 0.500, 0.500], [0.000, 0.000, 0.000]], "e_tot_ev_per_cell": -160.8, "magmom_total_mub_per_fu": 0.000, "spacegroup": "No. 225"}

=====

{"formula": "GeH2Rh", "functional": "SCAN", "state": "single point on PBEsol structure", "lattice": [[-3.346, 0.541, -1.969], [-0.299, -3.869, -0.555], [-0.841, 1.237, 5.671]], "species": ["H", "H", "H", "H", "Ge", "Ge", "Rh", "Rh"], "fractional_positions": [[0.269, 0.875, 0.250], [0.981, 0.375, 0.250], [0.125, 0.019, 0.750], [0.625, 0.731, 0.750], [0.750, 0.250, 0.500], [0.500, 0.500, 0.000], [0.250, 0.750, 0.500], [0.000, 0.000, 0.000]], "e_tot_ev_per_cell": -117.4, "magmom_total_mub_per_fu": 0.000, "spacegroup": "No. 122"}

=====

{"formula": "Zr2GeHRh", "functional": "SCAN", "state": "single point on PBEsol structure", "lattice": [[3.875, 0.000, 0.000], [0.000, 4.306, 0.000], [0.000, 0.000, 4.306]], "species": ["H", "Ge", "Rh", "Zr", "Zr"], "fractional_positions": [[0.000, 0.000, 0.000], [0.500, 0.500, 0.500], [0.500, 0.000, 0.000], [0.000, 0.000, 0.500], [0.000, 0.500, 0.000]], "e_tot_ev_per_cell": -121.0, "magmom_total_mub_per_fu": 0.000, "spacegroup": "No. 123"}

=====

{"formula": "GeH2Ru", "functional": "SCAN", "state": "single point on PBEsol structure", "lattice": [[-2.556, -2.402, -0.715], [1.748, -2.440, 1.951], [-2.689, 4.219, 4.403]], "species": ["Ru", "Ru", "Ge", "Ge", "H", "H", "H", "H"], "fractional_positions": [[0.250, 0.750, 0.500], [0.000, 0.000, 0.000], [0.750, 0.250, 0.500], [0.500, 0.500, 0.000], [0.135, 0.875, 0.250], [0.115, 0.375, 0.250], [0.125, 0.885, 0.750], [0.625, 0.865, 0.750]], "e_tot_ev_per_cell": -118.5, "magmom_total_mub_per_fu": 0.000, "spacegroup": "No. 122"}

=====

{"formula": "Ge2HRu", "functional": "SCAN", "state": "single point on PBEsol structure", "lattice": [[-0.777, 2.326, 3.374], [1.282, -1.281, 3.756], [3.120, 1.986, 1.927]], "species": ["Ru", "Ge", "Ge", "H"], "fractional_positions": [[0.500, 0.500, 0.500], [0.250, 0.250, 0.250], [0.750, 0.750, 0.750], [0.000, 0.000, 0.000]], "e_tot_ev_per_cell": -74.3, "magmom_total_mub_per_fu": 0.956, "spacegroup": "No. 225"}

=====

{"formula": "GeH3S", "functional": "SCAN", "state": "single point on PBEsol structure", "lattice": [[-2.978, 1.657, 1.164], [0.534, -1.353, 3.294], [1.953, 2.896, 0.873]], "species": ["H", "H", "H", "Ge", "S"], "fractional_positions": [[0.000, 0.500, 0.000], [0.000, 0.000, 0.500], [0.500, 0.000, 0.000], [0.000, 0.000, 0.000], [0.500, 0.500, 0.500]], "e_tot_ev_per_cell": -34.9, "magmom_total_mub_per_fu": 0.001, "spacegroup": "No. 221"}

=====

{"formula": "GeSbH2", "functional": "SCAN", "state": "single point on PBEsol structure", "lattice": [[5.444, 0.002, -0.002], [-2.687, 4.735, 0.002], [2.687, 1.606, 4.454]], "species": ["Sb", "Sb", "Ge", "Ge", "H", "H", "H", "H"], "fractional_positions": [[0.500, 0.250, 0.250], [0.000, 0.000, 0.000], [0.500, 0.750, 0.750], [0.000, 0.500, 0.500], [0.316, 0.691, 0.125], [0.684, 0.559, 0.625], [0.816, 0.125, 0.559], [0.184, 0.625, 0.691]], "e_tot_ev_per_cell": -122.2, "magmom_total_mub_per_fu": 0.000, "spacegroup": "No. 122"}

=====

{"formula": "SiGe3H", "functional": "SCAN", "state": "single point on PBEsol structure", "lattice": [[4.197, 0.000, 0.000], [0.000, 4.197, 0.000], [0.000, 0.000, 4.197]], "species": ["H", "Ge", "Ge", "Ge", "Si"], "fractional_positions": [[0.000, 0.000, 0.000], [0.000, 0.500, 0.000], [0.000, 0.000, 0.500], [0.500, 0.000, 0.000], [0.500, 0.500, 0.500]], "e_tot_ev_per_cell": -67.3, "magmom_total_mub_per_fu": 0.000, "spacegroup": "No. 221"}

=====

{"formula": "Sn2GeH2", "functional": "SCAN", "state": "single point on PBEsol structure", "lattice": [[4.037, 0.000, 0.000], [0.000, 4.037, 0.000], [0.000, 0.000, 5.635]], "species": ["H", "H", "Ge", "Sn", "Sn"], "fractional_positions": [[0.000, 0.500, 0.000], [0.500, 0.000, 0.000], [0.000, 0.000, 0.000], [0.500, 0.500, 0.500], [0.000, 0.000, 0.500]], "e_tot_ev_per_cell": -95.3, "magmom_total_mub_per_fu": 0.000, "spacegroup": "No. 123"}

=====

{"formula": "TlSnGeH2", "functional": "SCAN", "state": "single point on PBEsol structure", "lattice": [[3.908, 0.000, 0.000], [0.000, 3.908, 0.000], [0.000, 0.000, 6.290]], "species": ["H", "H", "Tl", "Ge", "Sn"], "fractional_positions": [[0.000, 0.500, 0.000], [0.500, 0.000, 0.000], [0.000, 0.000, 0.000], [0.500, 0.500, 0.500], [0.000, 0.000, 0.500]], "e_tot_ev_per_cell": -131.6, "magmom_total_mub_per_fu": 0.000, "spacegroup": "No. 123"}